Entry 1:
{"formula": "TbTmFe10", "functional": "PBE-GGA", "state": "optimized geometry", "dos_ef_per_ev_cell": 10.58, "density_kg_m3": 8704, "volume_a3_per_atom": 14.1, "spacegroup": "Pmmm (47)", "dft_energy_ev_per_cell": -94.390, "formation_energy_mev_per_atom": -55.2, "cell": [[-0.766, 2.695, 2.779], [-4.767, 0.138, -1.448], [-1.875, -6.276, 5.570]], "species": ["Tb", "Tm", "Fe", "Fe", "Fe", "Fe", "Fe", "Fe", "Fe", "Fe", "Fe", "Fe"], "fractional_positions": [[0.000, 0.000, 0.000], [0.000, 0.500, 0.500], [0.000, 0.000, 0.335], [0.000, 0.500, 0.832], [0.000, 0.500, 0.168], [0.000, 0.000, 0.665], [0.500, 0.000, 0.500], [0.500, 0.500, 0.000], [0.500, 0.251, 0.252], [0.500, 0.749, 0.748], [0.500, 0.749, 0.252], [0.500, 0.251, 0.748]]}


Entry 2:
{"formula": "NpBe3Si2", "functional": "PBE-GGA", "state": "optimized geometry", "dos_ef_per_ev_cell": 14.88, "density_kg_m3": 6544, "volume_a3_per_atom": 13.5, "spacegroup": "C2/m (12)", "formation_energy_uncorrected_ev_per_atom": -0.042, "dft_energy_ev_per_cell": -70.435, "cell": [[-3.136, -1.357, -1.343], [3.433, -5.832, 2.896], [-3.532, 3.650, 4.560]], "species": ["Np", "Np", "Be", "Be", "Be", "Be", "Be", "Be", "Si", "Si", "Si", "Si"], "fractional_positions": [[0.851, 0.703, 0.935], [0.149, 0.297, 0.065], [0.316, 0.632, 0.546], [0.961, 0.922, 0.613], [0.586, 0.172, 0.646], [0.414, 0.828, 0.354], [0.039, 0.078, 0.387], [0.684, 0.368, 0.454], [0.481, 0.961, 0.815], [0.519, 0.039, 0.185], [0.806, 0.611, 0.319], [0.194, 0.389, 0.681]]}


Entry 3:
{"formula": "SrZrNiSb2", "functional": "PBE-GGA", "state": "optimized geometry", "dos_ef_per_ev_cell": 4.73, "density_kg_m3": 5321, "volume_a3_per_atom": 30.0, "spacegroup": "P4/mmm (123)", "formation_energy_uncorrected_ev_per_atom": 1.156, "dft_energy_ev_per_cell": -18.477, "cell": [[-0.565, -5.280, -2.163], [-0.367, -1.692, 4.225], [-5.687, 0.697, -0.215]], "species": ["Sb", "Sb", "Ni", "Zr", "Sr"], "fractional_positions": [[0.000, 0.000, 0.500], [0.500, 0.000, 0.000], [0.000, 0.500, 0.000], [0.500, 0.500, 0.500], [0.000, 0.000, 0.000]]}


Entry 4:
{"formula": "BaLi2Mo", "functional": "PBE-GGA", "state": "optimized geometry", "dos_ef_per_ev_cell": 2.68, "polymorph_energy_mev_per_atom": 0.0, "density_kg_m3": 4551, "volume_a3_per_atom": 22.5, "spacegroup": "P4mm (99)", "dft_energy_ev_per_cell": -13.659, "formation_energy_mev_per_atom": 730.7, "cell": [[-1.377, 2.752, -0.083], [-0.569, -0.194, 3.019], [8.327, 4.223, 1.841]], "species": ["Ba", "Li", "Li", "Mo"], "fractional_positions": [[0.500, 0.500, 0.729], [0.000, 0.000, 0.062], [0.500, 0.500, 0.260], [0.000, 0.000, 0.448]]}


Entry 5:
{"formula": "RbCaY2Ti", "functional": "PBE-GGA", "state": "optimized geometry", "dos_ef_per_ev_cell": 21.84, "density_kg_m3": 3613, "volume_a3_per_atom": 32.3, "spacegroup": "P4/mmm (123)", "dft_energy_ev_per_cell": -16.002, "formation_energy_mev_per_atom": 1557.9, "cell": [[-4.544, -2.948, -0.710], [2.584, -3.118, -3.588], [1.546, -3.352, 4.027]], "species": ["Y", "Y", "Ca", "Rb", "Ti"], "fractional_positions": [[0.000, 0.000, 0.500], [0.500, 0.000, 0.000], [0.000, 0.500, 0.000], [0.000, 0.000, 0.000], [0.500, 0.500, 0.500]]}


Entry 6:
{"formula": "BaNaV", "functional": "PBE-GGA", "state": "optimized geometry", "dos_ef_per_ev_cell": 1.37, "polymorph_energy_mev_per_atom": 387.0, "density_kg_m3": 3638, "volume_a3_per_atom": 32.1, "spacegroup": "P-6m2 (187)", "dft_energy_ev_per_cell": -9.743, "formation_energy_mev_per_atom": 872.6, "cell": [[5.030, -2.904, 0.000], [0.000, 5.808, 0.000], [0.000, 0.000, 3.300]], "species": ["Na", "Ba", "V"], "fractional_positions": [[0.667, 0.333, 0.500], [0.000, 0.000, 0.000], [0.333, 0.667, 0.000]]}


Question: What is the formula in the first record?
Answer: TbTmFe10


Repeat the third record exactly.
{"formula": "SrZrNiSb2", "functional": "PBE-GGA", "state": "optimized geometry", "dos_ef_per_ev_cell": 4.73, "density_kg_m3": 5321, "volume_a3_per_atom": 30.0, "spacegroup": "P4/mmm (123)", "formation_energy_uncorrected_ev_per_atom": 1.156, "dft_energy_ev_per_cell": -18.477, "cell": [[-0.565, -5.280, -2.163], [-0.367, -1.692, 4.225], [-5.687, 0.697, -0.215]], "species": ["Sb", "Sb", "Ni", "Zr", "Sr"], "fractional_positions": [[0.000, 0.000, 0.500], [0.500, 0.000, 0.000], [0.000, 0.500, 0.000], [0.500, 0.500, 0.500], [0.000, 0.000, 0.000]]}